A relaxed structure of MnCuSiP. Source: the Alexandria database, functional GGA-PBE.

Values from the calculation:
Energy above the lowest structure with this stoichiometry, meV per atom: 89
Calculated volume, A^3/atom: 12.990
SG: No. 44
Formation energy (no corrections), eV per atom: -0.077

Unit cell a=6.584 b=6.584 c=6.584 alpha=155.82 beta=153.57 gamma=36.12
Sites, in units of the cell vectors:
Mn 0.000 0.000 0.000
Cu 0.773 0.273 0.500
Si 0.155 0.655 0.500
P 0.424 0.424 0.000



A relaxed structure of SiPt2Pb. Source: the Alexandria database, functional GGA-PBE.

Values from the calculation:
Calculated volume, A^3/atom: 20.327
SG: No. 8
Formation energy (no corrections), eV per atom: -0.357

Unit cell a=4.349 b=4.349 c=5.794 alpha=99.03 beta=99.03 gamma=48.87
Sites, in units of the cell vectors:
Si 0.000 0.000 0.000
Pt 0.440 0.440 0.250
Pt 0.693 0.693 0.956
Pb 0.192 0.192 0.544